# CaLa2Y (PBE-GGA, relaxed)
# Space group: I4/mmm (139)
# Relative energy among the computed polymorphs (meV/atom): 64
# Crystal system: tetragonal
# Total energy (eV for the cell shown): -17.97
# Spin magnetization (Bohr magnetons per cell): 0.0
data_CaLa2Y
_cell_length_a 6.3051
_cell_length_b 6.3051
_cell_length_c 6.3051
_cell_angle_alpha 129.11
_cell_angle_beta 129.11
_cell_angle_gamma 74.84
_space_group_name_H-M_alt 'P 1'
_space_group_IT_number 1
loop_
_space_group_symop_operation_xyz
'x,y,z'
loop_
_atom_site_label
_atom_site_fract_x
_atom_site_fract_y
_atom_site_fract_z
Ca1 0.7500 0.2500 0.5000
Y1 0.2500 0.7500 0.5000
La1 0.0000 0.0000 0.0000
La2 0.5000 0.5000 0.0000